{"formula": "AlCuRu2", "functional": "PBE-GGA", "state": "optimized geometry", "lattice_angstrom": [[2.7092, 0.0000, 0.0000], [0.0000, 4.2404, 0.0000], [-0.5424, 0.0000, 4.8002]], "species": ["Al", "Cu", "Ru", "Ru"], "frac_coords": [[0.0000, 0.0000, 0.0000], [0.5000, 0.0000, 0.5000], [0.2343, 0.5000, 0.7521], [0.7657, 0.5000, 0.2479]], "m_tot_mub_per_cell": 0.5, "formation_enthalpy_0k_ev_per_atom": 0.023}